[1]
# MgZn3P

Crystalline MgZn3P at its relaxed geometry (GGA-PBE, the Alexandria database).

Cell and atoms, written as POSCAR:
```
MgZn3P
1.0
4.9427 0.0000 0.0000
0.0000 4.9427 0.0000
0.0000 0.0000 4.9427
P Zn Mg
1 3 1
direct
0.5000 0.5000 0.5000
0.0000 0.5000 0.0000
0.0000 0.0000 0.5000
0.5000 0.0000 0.0000
0.0000 0.0000 0.0000
```

## Properties
Symmetry = Pm-3m

=====

[2]
# Mg3ZnP

Crystalline Mg3ZnP at its relaxed geometry (GGA-PBE, the Alexandria database).

Cell and atoms, written as POSCAR:
```
Mg3ZnP
1.0
4.8896 0.0000 0.0000
0.0000 4.8896 0.0000
0.0000 0.0000 4.8896
P Zn Mg
1 1 3
direct
0.5000 0.5000 0.5000
0.0000 0.0000 0.0000
0.0000 0.5000 0.0000
0.0000 0.0000 0.5000
0.5000 0.0000 0.0000
```

## Properties
Symmetry = Pm-3m

=====

[3]
# Mg2ZnP2

Crystalline Mg2ZnP2 at its relaxed geometry (GGA-PBE, the Alexandria database).

Cell and atoms, written as POSCAR:
```
Mg2ZnP2
1.0
7.6683 0.0000 0.0000
0.0000 7.6683 0.0000
0.0000 0.0000 2.9848
P Zn Mg
4 2 4
direct
0.3407 0.8407 0.0000
0.8407 0.6593 0.0000
0.6593 0.1593 0.0000
0.1593 0.3407 0.0000
0.0000 0.0000 0.0000
0.5000 0.5000 0.0000
0.1417 0.6417 0.5000
0.6417 0.8583 0.5000
0.8583 0.3583 0.5000
0.3583 0.1417 0.5000
```

## Properties
Symmetry = P4/mbm

=====

Number 1: calculated formation energy 974.6 meV per atom, density 3.46 g/cm³, total energy -6.0 eV for the cell shown. Number 2: calculated formation energy 398.6 meV per atom, density 2.40 g/cm³, total energy -9.5 eV for the cell shown. Number 3: calculated formation energy -165.8 meV per atom, density 3.33 g/cm³, total energy -32.2 eV for the cell shown.